No. 1
# Ac2HoP2N6

Crystalline Ac2HoP2N6 at its relaxed geometry (PBE, Alexandria).

a = 5.8160 Å, b = 5.8160 Å, c = 6.2390 Å
α = 90.00°, β = 90.00°, γ = 120.00°
Element x y z (fractional)
Ho 0.0000 0.0000 0.0000
N 0.7606 0.1220 0.2367
Ac 0.6667 0.3333 0.6815
N 0.6386 0.7606 0.7633
N 0.2394 0.8780 0.7633
P 0.3333 0.6667 0.8130
N 0.3614 0.2394 0.2367
Ac 0.3333 0.6667 0.3185
P 0.6667 0.3333 0.1870
N 0.1220 0.3614 0.7633
N 0.8780 0.6386 0.2367

Output
- DOS(E_F): 3.2 states/eV/f.u.
- Calculated density: 6.95 Mg/m³
- Raw formation energy: -0.92 eV per atom

No. 2
# CaSi3Se

Crystalline CaSi3Se at its relaxed geometry (PBE, Alexandria).

a = 4.9576 Å, b = 4.9576 Å, c = 4.9576 Å
α = 90.00°, β = 90.00°, γ = 90.00°
Element x y z (fractional)
Si 0.0000 0.0000 0.5000
Ca 0.5000 0.5000 0.5000
Si 0.5000 0.0000 0.0000
Se 0.0000 0.0000 0.0000
Si 0.0000 0.5000 0.0000

Output
- DOS(E_F): 2.2 states/eV/f.u.
- Offset from the most stable computed form: 0.00 kcal/mol of atoms
- Calculated density: 2.77 Mg/m³
- Raw formation energy: 0.58 eV per atom

No. 3
# NdThGaPd

Crystalline NdThGaPd at its relaxed geometry (PBE, Alexandria).

a = 5.1927 Å, b = 5.1927 Å, c = 5.1927 Å
α = 60.00°, β = 60.00°, γ = 60.00°
Element x y z (fractional)
Ga 0.2500 0.2500 0.2500
Nd 0.5000 0.5000 0.5000
Pd 0.7500 0.7500 0.7500
Th 0.0000 0.0000 0.0000

Output
- Energy relative to the elements: -2.05 eV per formula unit
- DOS(E_F): 4.5 states/eV/f.u.
- Calculated density: 9.27 Mg/m³

No. 4
# KInFe2

Crystalline KInFe2 at its relaxed geometry (PBE, Alexandria).

a = 5.1508 Å, b = 5.1508 Å, c = 3.0018 Å
α = 90.00°, β = 90.00°, γ = 90.00°
Each line ends with the local moment (μB).
Element x y z (fractional)
Fe 0.0000 0.0000 0.0000  2.81
K 0.0000 0.5000 0.5000  -0.04
In 0.5000 0.0000 0.5000  -0.07
Fe 0.5000 0.5000 0.0000  2.81

Output
- Energy relative to the elements: 4.21 eV per formula unit
- DOS(E_F): 6.0 states/eV/f.u.
- Calculated density: 5.54 Mg/m³

No. 5
# Sm2ZnPt2

Crystalline Sm2ZnPt2 at its relaxed geometry (PBE, Alexandria).

a = 5.8653 Å, b = 7.1182 Å, c = 7.3199 Å
α = 119.09°, β = 113.62°, γ = 90.00°
Element x y z (fractional)
Pt 0.1100 0.8629 0.2201
Sm 0.1444 0.3069 0.2888
Pt 0.6100 0.3571 0.2201
Pt 0.3900 0.6429 0.7799
Sm 0.3556 0.0181 0.7112
Zn 0.2500 0.5000 0.0000
Pt 0.8900 0.1371 0.7799
Sm 0.8556 0.6931 0.7112
Zn 0.7500 0.5000 0.0000
Sm 0.6444 0.9819 0.2888

Output
- Energy relative to the elements: -4.61 eV per formula unit
- DOS(E_F): 2.1 states/eV/f.u.
- Calculated density: 10.58 Mg/m³

No. 6
# K2CeTmO4

Crystalline K2CeTmO4 at its relaxed geometry (PBE, Alexandria).

a = 3.5338 Å, b = 6.1380 Å, c = 6.5906 Å
α = 107.95°, β = 90.00°, γ = 90.00°
Each line ends with the local moment (μB).
Element x y z (fractional)
Ce 0.5000 0.5000 0.0000  0.88
Tm 0.0000 0.0000 0.0000  0.02
K 0.5000 0.0000 0.5000  0.00
O 0.5000 0.2172 0.1836  -0.01
K 0.0000 0.5000 0.5000  0.01
O 0.5000 0.7829 0.8164  -0.01
O 0.0000 0.7421 0.1872  -0.01
O 0.0000 0.2579 0.8128  -0.01

Output
- DOS(E_F): 2.4 states/eV/f.u.
- Calculated density: 5.51 Mg/m³
- Raw formation energy: -2.68 eV per atom

No. 7
# Nb2VTcH

Crystalline Nb2VTcH at its relaxed geometry (PBE, Alexandria).

a = 4.4744 Å, b = 4.4744 Å, c = 3.3299 Å
α = 90.00°, β = 90.00°, γ = 90.00°
Element x y z (fractional)
V 0.0000 0.0000 0.5000
Tc 0.5000 0.5000 0.5000
Nb 0.5000 0.0000 0.0000
Nb 0.0000 0.5000 0.0000
H 0.0000 0.0000 0.0000

Output
- DOS(E_F): 2.5 states/eV/f.u.
- Calculated density: 8.36 Mg/m³
- E_tot: -8.764 eV/atom

No. 8
# PmPr2NdY5

Crystalline PmPr2NdY5 at its relaxed geometry (PBE, Alexandria).

a = 8.7584 Å, b = 8.7584 Å, c = 10.0421 Å
α = 115.85°, β = 115.85°, γ = 90.00°
Element x y z (fractional)
Y 0.0000 0.0000 0.0000
Y 0.0707 0.5707 0.7240
Y 0.3466 0.8466 0.2760
Pr 0.6181 0.1181 0.0000
Pr 0.1181 0.3819 0.0000
Pm 0.7500 0.7500 0.5000
Nd 0.2500 0.7500 0.5000
Nd 0.7500 0.2500 0.5000
Pm 0.2500 0.2500 0.5000
Y 0.5707 0.6534 0.7240
Y 0.9293 0.4293 0.2760
Pr 0.3819 0.8819 0.0000
Y 0.1534 0.0707 0.7240
Y 0.4293 0.3466 0.2760
Y 0.8466 0.9293 0.2760
Y 0.6534 0.1534 0.7240
Pr 0.8819 0.6181 0.0000
Y 0.5000 0.5000 0.0000

Output
- Energy relative to the elements: 2.11 eV per formula unit
- DOS(E_F): 9.9 states/eV/f.u.
- Calculated density: 5.56 Mg/m³